DFT (PBE-GGA) results for an optimized crystal structure of GdEr2Hg.

For the energy relative to the elements, the calculation gives -0.165 eV/atom. For the energy above the most stable polymorph in this dataset, the calculation gives 35.6 meV/atom.

Cell lengths 6.845, 11.873, 5.394 Å; angles 90.00, 90.00, 90.00 degrees
Space group Cmcm (No. 63)
Inequivalent atoms, fractional coordinates:
Gd: 0.000 0.174 0.250 x4
Er: 0.243 0.415 0.250 x8
Hg: 0.000 0.335 0.750 x4